Record 1
BaTl2Pd2Au | PBE | relaxed

- ΔH_f (0 K) (meV per atom) = -264.1

POSCAR file:
```
BaTl2Pd2Au
1.0
5.331 0.000 0.000
0.000 5.331 0.000
-2.665 -2.665 6.127
Ba Tl Pd Au
1 2 2 1
direct
0.500 0.500 0.000
0.250 0.750 0.500
0.750 0.250 0.500
0.781 0.781 0.562
0.219 0.219 0.438
0.000 0.000 0.000
```

Record 2
CsNaPS3 | PBE | relaxed

- energy relative to the elements, uncorrected (eV/atom) = -0.87

POSCAR file:
```
CsNaPS3
1.0
7.315 -0.104 -1.788
3.336 6.511 -1.788
1.231 0.740 7.829
Cs Na P S
2 2 2 6
direct
0.665 0.665 0.883
0.335 0.335 0.117
0.202 0.798 0.500
0.798 0.202 0.500
0.983 0.983 0.855
0.017 0.017 0.145
0.122 0.122 0.753
0.123 0.681 0.793
0.681 0.123 0.793
0.319 0.877 0.207
0.877 0.319 0.207
0.878 0.878 0.247
```

Record 3
YTl4Os | PBE | relaxed

- ΔH_f (0 K) (meV per atom) = 798.0

POSCAR file:
```
YTl4Os
1.0
0.000 4.268 4.268
4.268 0.000 4.268
4.268 4.268 0.000
Y Tl Os
1 4 1
direct
0.750 0.750 0.750
0.877 0.374 0.374
0.374 0.374 0.877
0.374 0.877 0.374
0.374 0.374 0.374
0.000 0.000 0.000
```

Record 4
LaTa2Rh | PBE | relaxed

- ΔH_f (0 K) (meV per atom) = 153.1
- energy above the most stable polymorph in this dataset (meV per atom) = 225

POSCAR file:
```
LaTa2Rh
1.0
-0.558 -5.083 -1.040
2.440 -4.433 -1.275
0.951 -2.532 5.127
La Ta Rh
1 2 1
direct
0.484 0.484 0.524
0.012 0.012 0.998
0.278 0.278 0.169
0.726 0.726 0.808
```

Record 5
GaTcOs2 | PBE | relaxed

- ΔH_f (0 K) (meV per atom) = 1231.7

POSCAR file:
```
GaTcOs2
1.0
5.728 0.000 0.000
0.000 5.728 0.000
2.864 2.864 5.283
Os Tc Ga
4 2 2
direct
0.637 0.125 0.250
0.113 0.625 0.250
0.375 0.363 0.750
0.875 0.887 0.750
0.000 0.000 0.000
0.750 0.250 0.500
0.500 0.500 0.000
0.250 0.750 0.500
```

Record 6
BaCa2VN4 | PBE | relaxed

- energy relative to the elements, uncorrected (eV/atom) = -0.84

POSCAR file:
```
BaCa2VN4
1.0
5.925 0.000 0.000
0.000 6.416 0.000
0.000 0.000 7.684
Ba Ca V N
2 4 2 8
direct
0.980 0.131 0.500
0.480 0.869 0.000
0.491 0.339 0.258
0.491 0.339 0.742
0.991 0.661 0.758
0.991 0.661 0.242
0.505 0.808 0.500
0.005 0.192 0.000
0.305 0.245 0.000
0.805 0.755 0.500
0.471 0.095 0.500
0.971 0.905 0.000
0.379 0.687 0.693
0.879 0.313 0.193
0.879 0.313 0.807
0.379 0.687 0.307
```

Record 7
Ac3In3Ga2 | PBE | relaxed

- ΔH_f (0 K) (meV per atom) = -412.0
- energy above the most stable polymorph in this dataset (meV per atom) = 82

POSCAR file:
```
Ac3In3Ga2
1.0
-1.082 2.087 4.553
-4.915 0.150 -4.120
-4.887 -14.127 5.315
Ac In Ga
6 6 4
direct
0.652 0.304 0.037
0.348 0.696 0.537
0.652 0.304 0.463
0.348 0.696 0.963
0.445 0.890 0.250
0.555 0.110 0.750
0.950 0.900 0.095
0.050 0.100 0.595
0.950 0.900 0.405
0.050 0.100 0.905
0.746 0.492 0.250
0.254 0.508 0.750
0.828 0.655 0.663
0.172 0.345 0.163
0.828 0.655 0.837
0.172 0.345 0.337
```

Record 8
LaUGaO6 | PBE | relaxed

- energy relative to the elements, uncorrected (eV/atom) = -2.85

POSCAR file:
```
LaUGaO6
1.0
5.388 0.000 0.000
-2.694 4.666 0.000
0.000 0.000 10.544
La U Ga O
2 2 2 12
direct
0.000 0.000 0.000
0.000 0.000 0.500
0.667 0.333 0.250
0.333 0.667 0.750
0.333 0.667 0.250
0.667 0.333 0.750
0.635 0.644 0.143
0.010 0.365 0.143
0.365 0.010 0.643
0.990 0.635 0.857
0.356 0.365 0.357
0.010 0.644 0.357
0.644 0.010 0.857
0.635 0.990 0.357
0.990 0.356 0.643
0.356 0.990 0.143
0.644 0.635 0.643
0.365 0.356 0.857
```

no.,magnetic moment (μB per cell),energy (eV per atom)
1,0.00,-3.65
2,0.00,-4.19
3,1.10,-3.73
4,0.00,-8.84
5,0.00,-7.73
6,2.07,-6.89
7,0.00,-3.74
8,0.00,-8.30